Entry 1:
The following is a DFT calculation (meta-GGA SCAN) of a crystal of K2TaCo relaxed with PBEsol.

Cell: 6.482 6.482 2.733 Å, 90.00 90.00 131.57°
Sites, in units of the cell vectors:
K 0.000 0.500 0.000
K 0.500 0.000 0.000
Ta 0.000 0.000 0.500
Co 0.500 0.500 0.500

Properties
Fermi-level density of states	2.948	states/eV per cell
symmetry	Cmmm (65)
energy relative to the lowest polymorph listed for this composition	38	meV per atom

---

Entry 2:
The following is a DFT calculation (meta-GGA SCAN) of a crystal of KTaCo2 relaxed with PBEsol.

Cell: 4.375 4.375 4.375 Å, 60.00 60.00 60.00°
Sites, in units of the cell vectors:
K 0.000 0.000 0.000
Ta 0.250 0.250 0.250
Co 0.500 0.500 0.500
Co 0.750 0.750 0.750

Properties
Fermi-level density of states	3.717	states/eV per cell
symmetry	F-43m (216)
energy relative to the lowest polymorph listed for this composition	991	meV per atom

---

Entry 3:
The following is a DFT calculation (meta-GGA SCAN) of a crystal of KTaCo2 relaxed with PBEsol.

Cell: 5.356 5.356 5.356 Å, 140.22 140.22 57.53°
Sites, in units of the cell vectors:
K 0.000 0.000 0.000
Ta 0.750 0.250 0.500
Co 0.250 0.750 0.500
Co 0.500 0.500 0.000

Properties
Fermi-level density of states	3.156	states/eV per cell
symmetry	I-4m2 (119)
energy relative to the lowest polymorph listed for this composition	989	meV per atom

---

Entry 4:
The following is a DFT calculation (meta-GGA SCAN) of a crystal of K2TaCo relaxed with PBEsol.

Cell: 3.704 3.704 5.958 Å, 90.00 90.00 90.00°
Sites, in units of the cell vectors:
K 0.000 0.500 0.000
K 0.500 0.000 0.000
Ta 0.000 0.000 0.500
Co 0.500 0.500 0.500

Properties
Fermi-level density of states	2.009	states/eV per cell
symmetry	P4/mmm (123)
energy relative to the lowest polymorph listed for this composition	0	meV per atom

---

Entry 5:
The following is a DFT calculation (meta-GGA SCAN) of a crystal of KTaCo2 relaxed with PBEsol.

Cell: 3.006 3.006 7.811 Å, 90.00 90.00 90.00°
Sites, in units of the cell vectors:
K 0.000 0.000 0.000
Ta 0.000 0.000 0.500
Co 0.500 0.500 0.328
Co 0.500 0.500 0.672

Properties
Fermi-level density of states	3.035	states/eV per cell
symmetry	P4/mmm (123)
energy relative to the lowest polymorph listed for this composition	0	meV per atom

---

Entry 6:
The following is a DFT calculation (meta-GGA SCAN) of a crystal of KCoTc2 relaxed with PBEsol.

Cell: 5.871 5.871 5.871 Å, 155.00 130.92 55.85°
Sites, in units of the cell vectors:
K 0.000 0.000 0.000
Co 0.500 0.500 0.000
Tc 0.294 0.794 0.500
Tc 0.706 0.206 0.500

Properties
Fermi-level density of states	3.208	states/eV per cell
symmetry	Immm (71)

---

no.,magnetization (μB/cell),ΔE_f (eV/atom)
1,0.81,1.477
2,2.27,1.527
3,1.20,1.525
4,0.55,1.439
5,0.00,0.536
6,1.31,0.955